# 1
The following is a DFT calculation (PBE-GGA) of an optimized crystal structure of HoMg2Ag.

abc: 3.3268 3.3268 10.0662
angles: 80.44 80.44 59.97
Last column: nearest neighbours and their distance in Å.
Element x y z (fractional)
Ho 0.5000 0.5000 0.5003  6 Ho 3.33, 6 Mg 3.38-3.39
Mg 0.0736 0.0736 0.7822  3 Ag 2.88-2.89
Mg 0.2598 0.2598 0.2177  3 Ag 2.88-2.89
Ag 0.6666 0.6666 0.9998  6 Mg 2.88-2.89

Values from the calculation:
The space-group type is No. 8. Its energy is -2.67 eV/atom. The formation energy comes out at -15 meV per atom.



# 2
The following is a DFT calculation (PBE-GGA) of an optimized crystal structure of Fe2CoIr.

abc: 4.4366 4.4366 4.4366
angles: 131.59 131.59 70.88
Last column: nearest neighbours and their distance in Å.
Element x y z (fractional)
Ir 0.2500 0.7500 0.5000  8 Fe 2.56, 4 Co 2.57
Co 0.7500 0.2500 0.5000  8 Fe 2.56, 4 Ir 2.57
Fe 0.0000 0.0000 0.0000  4 Ir 2.56, 4 Co 2.56, 4 Fe 2.57
Fe 0.5000 0.5000 0.0000  4 Co 2.56, 4 Ir 2.56, 4 Fe 2.57

Values from the calculation:
The space-group type is No. 139. Its energy is -8.21 eV/atom. The formation energy comes out at 16 meV per atom.



# 3
The following is a DFT calculation (PBE-GGA) of an optimized crystal structure of ZnInPd3.

abc: 4.6260 4.6260 4.6260
angles: 90.00 90.00 90.00
Last column: nearest neighbours and their distance in Å.
Element x y z (fractional)
Zn 0.0000 0.0000 0.0000  6 Pd 2.31
Pd 0.0000 0.5000 0.0000  2 Zn 2.31
Pd 0.0000 0.0000 0.5000  2 Zn 2.31
Pd 0.5000 0.0000 0.0000  2 Zn 2.31
In 0.5000 0.5000 0.5000  12 Pd 3.27

Values from the calculation:
The space-group type is No. 221. Its energy is -3.78 eV/atom. The formation energy comes out at 133 meV per atom.



# 4
The following is a DFT calculation (PBE-GGA) of an optimized crystal structure of Ca2HgPt.

abc: 8.7030 8.7030 8.7030
angles: 36.76 154.13 154.34
Last column: nearest neighbours and their distance in Å.
Element x y z (fractional)
Ca 0.0000 0.1622 0.1622  1 Pt 2.68
Ca 0.0000 0.8378 0.8378  1 Pt 2.68
Hg 0.0000 0.5000 0.5000  4 Pt 2.74
Pt 0.0000 0.0000 0.0000  2 Ca 2.68, 4 Hg 2.74

Values from the calculation:
The space-group type is No. 71. Its energy is -2.82 eV/atom. The formation energy comes out at -234 meV per atom.